Here is a geometry-optimized TbNi4 structure from Alexandria via LeMat-Bulk. Energies are from GGA-PBE.

Structure (POSCAR):
```
TbNi4
1.0
-4.168 4.168 4.168
4.168 -4.168 4.168
4.168 4.168 -4.168
Tb Ni
4 16
Direct
0.000 0.000 0.447
0.000 0.447 0.000
0.447 0.000 0.000
0.553 0.553 0.553
0.000 0.000 0.801
0.000 0.352 0.352
0.000 0.648 0.648
0.000 0.801 0.000
0.199 0.199 0.199
0.250 0.500 0.750
0.250 0.750 0.500
0.352 0.000 0.352
0.352 0.352 0.000
0.500 0.250 0.750
0.500 0.750 0.250
0.648 0.000 0.648
0.648 0.648 0.000
0.750 0.250 0.500
0.750 0.500 0.250
0.801 0.000 0.000
```

## Properties
spin magnetization = 0.10 μB/atom
crystal system = cubic
formation enthalpy at 0 K = -186.2 meV per atom
uncorrected energy = -5.74 eV per atom
D(E_F) = 1.5057 states/eV/atom

Here is a geometry-optimized CaTa8 structure from Alexandria via LeMat-Bulk. Energies are from GGA-PBE.

Structure (POSCAR):
```
CaTa8
1.0
-4.269 4.269 2.402
4.269 -4.269 2.402
4.269 4.269 -2.402
Ca Ta
1 8
Direct
0.000 0.000 0.000
0.000 0.340 0.340
0.000 0.660 0.660
0.326 0.326 0.653
0.326 0.674 0.000
0.340 0.000 0.340
0.660 0.000 0.660
0.674 0.326 0.000
0.674 0.674 0.347
```

## Properties
spin magnetization = 0.00 μB/atom
crystal system = tetragonal
formation enthalpy at 0 K = 460.8 meV per atom
uncorrected energy = -10.30 eV per atom
D(E_F) = 1.4765 states/eV/atom

Here is a geometry-optimized SnI structure from Alexandria via LeMat-Bulk. Energies are from GGA-PBE.

Structure (POSCAR):
```
SnI
1.0
4.984 0.000 0.000
2.490 5.740 0.000
1.672 -0.195 7.613
Sn I
2 2
Direct
0.000 0.000 0.000
0.424 0.000 0.218
0.213 0.994 0.608
0.959 0.499 0.111
```

## Properties
ΔE_f (raw) = -0.323 eV per formula unit
spin magnetization = 0.00 μB/atom
crystal system = triclinic
uncorrected energy = -2.94 eV per atom
D(E_F) = 0.1659 states/eV/atom

Here is a geometry-optimized AsP5 structure from Alexandria via LeMat-Bulk. Energies are from GGA-PBE.

Structure (POSCAR):
```
AsP5
1.0
4.889 0.000 0.000
-2.444 4.234 0.000
0.000 0.000 4.649
As P
1 5
Direct
0.000 0.000 0.000
0.000 0.500 0.500
0.333 0.667 0.000
0.500 0.000 0.500
0.500 0.500 0.500
0.667 0.333 0.000
```

## Properties
spin magnetization = 0.00 μB/atom
crystal system = hexagonal
formation enthalpy at 0 K = 761.8 meV per atom
uncorrected energy = -4.52 eV per atom
D(E_F) = 0.2296 states/eV/atom
excess energy over the best structure of this formula in the dataset = 4.230 eV/f.u.

Here is a geometry-optimized CoW2Se structure from Alexandria via LeMat-Bulk. Energies are from GGA-PBE.

Structure (POSCAR):
```
CoW2Se
1.0
3.174 0.000 0.000
0.000 3.174 0.000
0.000 0.000 5.941
Co W Se
1 2 1
Direct
0.000 0.000 0.000
0.000 0.000 0.531
0.500 0.500 0.816
0.500 0.500 0.280
```

## Properties
ΔE_f (raw) = 1.090 eV per formula unit
spin magnetization = 0.00 μB/atom
crystal system = tetragonal
uncorrected energy = -8.85 eV per atom
D(E_F) = 0.8202 states/eV/atom

Here is a geometry-optimized Y3In4AgTe8 structure from Alexandria via LeMat-Bulk. Energies are from GGA-PBE.

Structure (POSCAR):
```
Y3In4AgTe8
1.0
4.411 2.547 7.666
-4.411 2.547 7.666
0.000 -5.094 7.666
Y In Ag Te
3 4 1 8
Direct
0.000 0.500 0.500
0.500 0.000 0.500
0.500 0.500 0.000
0.000 0.000 0.500
0.000 0.500 0.000
0.500 0.000 0.000
0.500 0.500 0.500
0.000 0.000 0.000
0.247 0.247 0.740
0.247 0.740 0.247
0.257 0.257 0.257
0.260 0.753 0.753
0.740 0.247 0.247
0.743 0.743 0.743
0.753 0.260 0.753
0.753 0.753 0.260
```

## Properties
ΔE_f (raw) = -11.984 eV per formula unit
spin magnetization = 0.00 μB/atom
crystal system = trigonal
uncorrected energy = -4.39 eV per atom
D(E_F) = 0.2575 states/eV/atom

Here is a geometry-optimized BaCeNpN3 structure from Alexandria via LeMat-Bulk. Energies are from GGA-PBE.

Structure (POSCAR):
```
BaCeNpN3
1.0
7.004 0.000 0.000
0.000 3.666 0.000
-2.878 0.000 9.789
Ba Ce Np N
2 2 2 6
Direct
0.245 0.250 0.219
0.755 0.750 0.781
0.324 0.250 0.872
0.676 0.750 0.128
0.103 0.750 0.571
0.897 0.250 0.429
0.014 0.250 0.679
0.331 0.750 0.026
0.357 0.750 0.722
0.643 0.250 0.278
0.669 0.250 0.974
0.986 0.750 0.321
```

## Properties
ΔE_f (raw) = -5.698 eV per formula unit
spin magnetization = 0.14 μB/atom
crystal system = monoclinic
uncorrected energy = -8.58 eV per atom
D(E_F) = 0.7304 states/eV/atom

Here is a geometry-optimized CsBTeN2 structure from Alexandria via LeMat-Bulk. Energies are from GGA-PBE.

Structure (POSCAR):
```
CsBTeN2
1.0
4.880 0.000 0.000
0.000 4.880 0.000
0.000 0.000 4.569
Cs B Te N
1 1 1 2
Direct
0.000 0.000 0.000
0.500 0.500 0.500
0.500 0.500 0.000
0.000 0.500 0.500
0.500 0.000 0.500
```

## Properties
ΔE_f (raw) = 9.980 eV per formula unit
spin magnetization = 0.88 μB/atom
crystal system = tetragonal
uncorrected energy = -3.47 eV per atom
D(E_F) = 0.5706 states/eV/atom
excess energy over the best structure of this formula in the dataset = 0.000 eV/f.u.

Here is a geometry-optimized CeHfZn structure from Alexandria via LeMat-Bulk. Energies are from GGA-PBE.

Structure (POSCAR):
```
CeHfZn
1.0
3.148 0.000 0.000
0.000 3.148 0.000
0.000 0.000 13.277
Ce Hf Zn
2 2 2
Direct
0.000 0.000 0.000
0.500 0.500 0.500
0.000 0.000 0.312
0.500 0.500 0.812
0.000 0.000 0.673
0.500 0.500 0.173
```

## Properties
spin magnetization = 0.15 μB/atom
crystal system = tetragonal
formation enthalpy at 0 K = -64.3 meV per atom
uncorrected energy = -5.78 eV per atom
D(E_F) = 1.7158 states/eV/atom
excess energy over the best structure of this formula in the dataset = 0.127 eV/f.u.

Here is a geometry-optimized AcSmSiPt structure from Alexandria via LeMat-Bulk. Energies are from GGA-PBE.

Structure (POSCAR):
```
AcSmSiPt
1.0
7.437 0.000 0.000
0.000 7.437 0.000
0.000 0.000 7.437
Ac Sm Si Pt
4 4 4 4
Direct
0.000 0.000 0.000
0.000 0.500 0.500
0.500 0.000 0.500
0.500 0.500 0.000
0.000 0.000 0.500
0.000 0.500 0.000
0.500 0.000 0.000
0.500 0.500 0.500
0.250 0.250 0.750
0.250 0.750 0.250
0.750 0.250 0.250
0.750 0.750 0.750
0.250 0.250 0.250
0.250 0.750 0.750
0.750 0.250 0.750
0.750 0.750 0.250
```

## Properties
ΔE_f (raw) = -2.744 eV per formula unit
spin magnetization = 0.00 μB/atom
crystal system = cubic
uncorrected energy = -5.76 eV per atom
D(E_F) = 0.3083 states/eV/atom

Here is a geometry-optimized ErMnNiGe2 structure from Alexandria via LeMat-Bulk. Energies are from GGA-PBE.

Structure (POSCAR):
```
ErMnNiGe2
1.0
4.029 0.000 0.000
0.000 4.029 0.000
0.000 0.000 10.311
Er Mn Ni Ge
2 2 2 4
Direct
0.000 0.000 0.000
0.500 0.500 0.500
0.000 0.500 0.250
0.500 0.000 0.750
0.000 0.500 0.750
0.500 0.000 0.250
0.000 0.000 0.379
0.000 0.000 0.621
0.500 0.500 0.121
0.500 0.500 0.879
```

## Properties
spin magnetization = 0.67 μB/atom
crystal system = tetragonal
formation enthalpy at 0 K = -540.1 meV per atom
uncorrected energy = -6.29 eV per atom
D(E_F) = 0.7492 states/eV/atom

Here is a geometry-optimized Pm7Pr3Ho structure from Alexandria via LeMat-Bulk. Energies are from GGA-PBE.

Structure (POSCAR):
```
Pm7Pr3Ho
1.0
5.912 -5.140 0.000
5.912 5.140 0.000
-0.517 0.000 6.505
Pm Pr Ho
7 3 1
Direct
0.000 0.000 0.000
0.071 0.413 0.262
0.259 0.259 0.785
0.413 0.071 0.262
0.587 0.929 0.738
0.741 0.741 0.215
0.929 0.587 0.738
0.327 0.673 0.000
0.500 0.500 0.500
0.673 0.327 0.000
0.000 0.000 0.500
```

## Properties
spin magnetization = 0.00 μB/atom
crystal system = monoclinic
formation enthalpy at 0 K = 226.5 meV per atom
uncorrected energy = -4.52 eV per atom
D(E_F) = 1.4082 states/eV/atom
excess energy over the best structure of this formula in the dataset = 0.685 eV/f.u.

- What is the formula in the fifth record?
  CoW2Se